Compound: CaTeAu4
Source: Alexandria
Functional: PBE-GGA
Structure: optimized geometry

## Properties
Raw formation energy, kJ per mole of atoms: -44
Spin magnetization, Bohr magnetons per cell: 0.00
N(E_F), states/eV per atom: 0.025

CIF file:
```
data_CaTeAu4
_chemical_formula_sum 'Ca4 Te4 Au16'
_cell_length_a 8.042
_cell_length_b 8.042
_cell_length_c 8.042
_cell_angle_alpha 90.00
_cell_angle_beta 90.00
_cell_angle_gamma 90.00
_symmetry_space_group_name_H-M 'F -4 3 m'
_symmetry_Int_Tables_number 216
_symmetry_space_group_name_Hall 'F -4 2 3'
loop_
_atom_site_label
_atom_site_type_symbol
_atom_site_fract_x
_atom_site_fract_y
_atom_site_fract_z
_atom_site_occupancy
Ca1 Ca 0.000 0.000 0.000 1
Te1 Te 0.250 0.250 0.750 1
Au1 Au 0.125 0.125 0.375 1
```